[1]
! BaLiSnAu (PBE-GGA, relaxed); values from VASP
! Relative energy among the computed polymorphs (eV/atom): 0.000
! ρ (g/cm3): 7.41
! E_tot (eV per atom): -3.25
&SYSTEM
  ibrav = 0, nat = 4, ntyp = 4
/
ATOMIC_SPECIES
Au 196.97 Au.upf
Ba 137.33 Ba.upf
Li 6.94 Li.upf
Sn 118.71 Sn.upf
CELL_PARAMETERS angstrom
0.000 3.722 3.722
3.722 0.000 3.722
3.722 3.722 0.000
ATOMIC_POSITIONS angstrom
Au 5.583 5.583 5.583
Ba 3.722 3.722 3.722
Li 1.861 1.861 1.861
Sn 0.000 0.000 0.000



[2]
! GdMgZn (PBE-GGA, relaxed); values from VASP
! ρ (g/cm3): 5.92
! E_tot (eV per atom): -2.62
&SYSTEM
  ibrav = 0, nat = 12, ntyp = 3
/
ATOMIC_SPECIES
Gd 157.25 Gd.upf
Mg 24.30 Mg.upf
Zn 65.41 Zn.upf
CELL_PARAMETERS angstrom
-5.543 2.236 -2.483
-4.895 -3.699 -0.582
-3.447 1.894 7.118
ATOMIC_POSITIONS angstrom
Gd -3.657 0.639 0.828
Gd -7.107 1.135 0.923
Gd -4.332 0.255 4.473
Gd -7.747 0.564 4.343
Mg -7.966 -0.181 -2.381
Mg -5.482 1.588 -1.947
Mg -5.889 -1.531 -0.180
Mg -9.981 0.019 -0.196
Zn -7.055 -1.664 2.433
Zn -9.489 -0.798 2.285
Zn -11.987 -0.176 2.420
Zn -5.717 2.762 5.293



[3]
! TaMoW2 (PBE-GGA, relaxed); values from VASP
! ρ (g/cm3): 16.27
! E_tot (eV per atom): -12.27
! Formation energy from the elements (eV per atom): -0.114
&SYSTEM
  ibrav = 0, nat = 4, ntyp = 3
/
ATOMIC_SPECIES
Mo 95.94 Mo.upf
Ta 180.95 Ta.upf
W 183.84 W.upf
CELL_PARAMETERS angstrom
3.014 -2.706 -2.031
1.089 -3.982 1.868
-1.366 -3.861 -1.938
ATOMIC_POSITIONS angstrom
Mo 1.369 -5.274 -1.051
Ta 2.053 -7.911 -1.576
W 0.000 0.000 0.000
W 0.684 -2.637 -0.525



[4]
! TaTlFeCu (PBE-GGA, relaxed); values from VASP
! Relative energy among the computed polymorphs (eV/atom): 0.253
! ρ (g/cm3): 12.88
! E_tot (eV per atom): -5.93
&SYSTEM
  ibrav = 0, nat = 4, ntyp = 4
/
ATOMIC_SPECIES
Cu 63.55 Cu.upf
Fe 55.84 Fe.upf
Ta 180.95 Ta.upf
Tl 204.38 Tl.upf
CELL_PARAMETERS angstrom
0.000 3.192 3.192
3.192 0.000 3.192
3.192 3.192 0.000
ATOMIC_POSITIONS angstrom
Cu 3.192 3.192 3.192
Fe 4.788 4.788 4.788
Ta 1.596 1.596 1.596
Tl 0.000 0.000 0.000



[5]
! ThNpMo (PBE-GGA, relaxed); values from VASP
! ρ (g/cm3): 12.29
! E_tot (eV per atom): -9.64
! Formation energy from the elements (eV per atom): 0.703
&SYSTEM
  ibrav = 0, nat = 3, ntyp = 3
/
ATOMIC_SPECIES
Mo 95.94 Mo.upf
Np 237.00 Np.upf
Th 232.04 Th.upf
CELL_PARAMETERS angstrom
0.000 3.367 3.367
3.367 0.000 3.367
3.367 3.367 0.000
ATOMIC_POSITIONS angstrom
Mo 0.000 0.000 0.000
Np 1.683 1.683 1.683
Th 5.050 5.050 5.050



[6]
! GdBeB4 (PBE-GGA, relaxed); values from VASP
! Relative energy among the computed polymorphs (eV/atom): 0.000
! ρ (g/cm3): 6.14
! E_tot (eV per atom): -5.96
&SYSTEM
  ibrav = 0, nat = 6, ntyp = 3
/
ATOMIC_SPECIES
B 10.81 B.upf
Be 9.01 Be.upf
Gd 157.25 Gd.upf
CELL_PARAMETERS angstrom
3.109 0.000 0.000
-1.555 2.693 0.000
0.000 0.000 6.766
ATOMIC_POSITIONS angstrom
B 1.555 0.898 2.029
B 0.000 1.795 2.029
B 1.555 0.898 4.737
B 0.000 1.795 4.737
Be 0.000 0.000 3.383
Gd 0.000 0.000 0.000



[7]
! Al2Hg2Ge3 (PBE-GGA, relaxed); values from VASP
! ρ (g/cm3): 7.47
! E_tot (eV per atom): -2.93
&SYSTEM
  ibrav = 0, nat = 7, ntyp = 3
/
ATOMIC_SPECIES
Al 26.98 Al.upf
Ge 72.64 Ge.upf
Hg 200.59 Hg.upf
CELL_PARAMETERS angstrom
-7.354 4.290 4.290
-4.290 4.290 7.354
-4.290 7.354 4.290
ATOMIC_POSITIONS angstrom
Al -3.755 3.755 3.755
Al -12.274 12.274 12.274
Ge -5.306 5.306 5.306
Ge -9.961 9.961 9.961
Ge -13.954 13.954 13.954
Hg -0.865 0.865 0.865
Hg -7.662 7.662 7.662



[8]
! TlCuNiGe (PBE-GGA, relaxed); values from VASP
! Relative energy among the computed polymorphs (eV/atom): 0.000
! ρ (g/cm3): 10.15
! E_tot (eV per atom): -3.77
&SYSTEM
  ibrav = 0, nat = 4, ntyp = 4
/
ATOMIC_SPECIES
Cu 63.55 Cu.upf
Ge 72.64 Ge.upf
Ni 58.69 Ni.upf
Tl 204.38 Tl.upf
CELL_PARAMETERS angstrom
0.150 1.511 4.258
-3.741 -0.014 2.537
-0.385 -2.903 3.444
ATOMIC_POSITIONS angstrom
Cu -2.982 -1.054 7.678
Ge -1.988 -0.703 5.119
Ni -0.994 -0.351 2.559
Tl 0.000 0.000 0.000



[9]
! Sr2Fe (PBE-GGA, relaxed); values from VASP
! ρ (g/cm3): 1.67
! E_tot (eV per atom): -2.43
&SYSTEM
  ibrav = 0, nat = 6, ntyp = 2
/
ATOMIC_SPECIES
Fe 55.84 Fe.upf
Sr 87.62 Sr.upf
CELL_PARAMETERS angstrom
-7.740 0.782 3.797
-2.358 7.556 3.505
-6.193 4.759 -3.735
ATOMIC_POSITIONS angstrom
Fe -4.073 3.274 0.892
Fe -8.145 6.548 1.784
Sr -6.109 4.911 1.338
Sr -9.979 5.302 3.237
Sr -7.288 8.689 3.090
Sr -9.205 7.291 -0.529



[10]
! ErZrPO (PBE-GGA, relaxed); values from VASP
! Relative energy among the computed polymorphs (eV/atom): 0.000
! ρ (g/cm3): 7.05
! E_tot (eV per atom): -7.88
&SYSTEM
  ibrav = 0, nat = 8, ntyp = 4
/
ATOMIC_SPECIES
Er 167.26 Er.upf
O 16.00 O.upf
P 30.97 P.upf
Zr 91.22 Zr.upf
CELL_PARAMETERS angstrom
4.128 0.000 0.000
0.000 4.128 0.000
0.000 0.000 8.442
ATOMIC_POSITIONS angstrom
Er 0.000 2.064 0.955
Er 2.064 0.000 7.487
O 0.000 0.000 0.000
O 2.064 2.064 0.000
P 2.064 0.000 2.613
P 0.000 2.064 5.829
Zr 0.000 0.000 4.221
Zr 2.064 2.064 4.221



[11]
! TbTlZnS3 (PBE-GGA, relaxed); values from VASP
! Relative energy among the computed polymorphs (eV/atom): 0.001
! ρ (g/cm3): 5.79
! E_tot (eV per atom): -4.66
&SYSTEM
  ibrav = 0, nat = 12, ntyp = 4
/
ATOMIC_SPECIES
S 32.06 S.upf
Tb 158.93 Tb.upf
Tl 204.38 Tl.upf
Zn 65.41 Zn.upf
CELL_PARAMETERS angstrom
-2.928 -2.799 -6.213
-3.379 -5.629 -3.451
-9.429 4.056 2.616
ATOMIC_POSITIONS angstrom
S -2.976 -2.903 -3.460
S -2.736 0.508 0.073
S -6.475 -1.398 -2.490
S -9.261 -2.974 -4.559
S -12.999 -4.879 -7.122
S -12.760 -1.468 -3.588
Tb 0.000 0.000 0.000
Tb -4.715 2.028 1.308
Tl -7.067 -5.280 -6.564
Tl -8.668 0.908 -0.485
Zn -5.267 -2.874 -3.805
Zn -10.468 -1.497 -3.244



[12]
! Li2Nb2GaSnOs2 (PBE-GGA, relaxed); values from VASP
! ρ (g/cm3): 10.38
! E_tot (eV per atom): -6.97
&SYSTEM
  ibrav = 0, nat = 8, ntyp = 5
/
ATOMIC_SPECIES
Ga 69.72 Ga.upf
Li 6.94 Li.upf
Nb 92.91 Nb.upf
Os 190.23 Os.upf
Sn 118.71 Sn.upf
CELL_PARAMETERS angstrom
-4.173 0.036 1.483
-1.483 -0.243 -4.167
0.067 -6.258 0.341
ATOMIC_POSITIONS angstrom
Ga 0.000 0.000 0.000
Li -2.071 -1.461 0.822
Li -0.691 -4.899 -1.823
Nb -2.828 -0.103 -1.342
Nb 0.033 -3.129 0.170
Os -0.725 -1.645 -2.000
Os -2.036 -4.716 0.999
Sn -2.795 -3.232 -1.171



[13]
! Sr2CdBiP (PBE-GGA, relaxed); values from VASP
! ρ (g/cm3): 5.70
! E_tot (eV per atom): -3.53
&SYSTEM
  ibrav = 0, nat = 10, ntyp = 4
/
ATOMIC_SPECIES
Bi 208.98 Bi.upf
Cd 112.41 Cd.upf
P 30.97 P.upf
Sr 87.62 Sr.upf
CELL_PARAMETERS angstrom
6.765 1.470 -6.381
-7.790 2.622 4.592
4.121 3.272 5.122
ATOMIC_POSITIONS angstrom
Bi -1.254 3.728 3.378
Bi 6.009 4.952 2.017
Cd -6.096 2.774 3.969
Cd 7.787 3.474 -2.383
P -5.142 3.999 6.223
P 9.810 4.613 -0.936
Sr 0.111 2.826 0.532
Sr 3.954 3.248 -0.704
Sr 2.824 4.410 2.601
Sr 0.644 5.309 5.906



[14]
! AlFeIr2 (PBE-GGA, relaxed); values from VASP
! ρ (g/cm3): 13.89
! E_tot (eV per atom): -7.56
&SYSTEM
  ibrav = 0, nat = 4, ntyp = 3
/
ATOMIC_SPECIES
Al 26.98 Al.upf
Fe 55.84 Fe.upf
Ir 192.22 Ir.upf
CELL_PARAMETERS angstrom
2.061 -3.223 1.942
-1.915 -3.814 0.442
1.363 -3.363 -2.289
ATOMIC_POSITIONS angstrom
Al 0.754 -5.200 0.048
Fe 0.377 -2.600 0.024
Ir 0.000 0.000 0.000
Ir 1.131 -7.800 0.072



[15]
! TmMg2 (PBE-GGA, relaxed); values from VASP
! ρ (g/cm3): 4.70
! E_tot (eV per atom): -2.52
&SYSTEM
  ibrav = 0, nat = 24, ntyp = 2
/
ATOMIC_SPECIES
Mg 24.30 Mg.upf
Tm 168.93 Tm.upf
CELL_PARAMETERS angstrom
5.872 13.585 0.000
-5.660 6.699 0.000
0.000 0.000 5.293
ATOMIC_POSITIONS angstrom
Mg 2.868 8.578 0.000
Mg 0.089 3.370 0.000
Mg 3.115 15.406 0.000
Mg 0.110 10.129 0.000
Mg -2.823 4.981 0.000
Mg -0.255 13.518 0.000
Mg -2.697 8.272 0.000
Mg -2.685 11.457 0.000
Mg -0.991 1.690 2.646
Mg 2.101 10.067 2.646
Mg 1.994 13.888 2.646
Mg 2.007 17.073 2.646
Mg -0.436 11.825 2.646
Mg -3.738 6.779 2.646
Mg -0.800 15.216 2.646
Mg -3.804 9.939 2.646
Tm 2.762 12.096 0.000
Tm 0.187 6.694 0.000
Tm 0.082 16.865 0.000
Tm -5.631 6.707 0.000
Tm 4.783 11.952 2.646
Tm 2.207 6.549 2.646
Tm -0.930 5.054 2.646
Tm -0.771 8.479 2.646



[16]
! Cu7Ag3 (PBE-GGA, relaxed); values from VASP
! Relative energy among the computed polymorphs (eV/atom): 0.061
! ρ (g/cm3): 9.24
! E_tot (eV per atom): -3.34
! Formation energy from the elements (eV per atom): 0.105
&SYSTEM
  ibrav = 0, nat = 10, ntyp = 2
/
ATOMIC_SPECIES
Ag 107.87 Ag.upf
Cu 63.55 Cu.upf
CELL_PARAMETERS angstrom
1.367 0.789 21.316
-1.367 0.789 21.316
0.000 -1.579 21.316
ATOMIC_POSITIONS angstrom
Ag 0.000 0.000 25.563
Ag 0.000 0.000 31.973
Ag 0.000 0.000 38.384
Cu 0.000 0.000 0.000
Cu 0.000 0.000 6.491
Cu 0.000 0.000 12.893
Cu 0.000 0.000 19.334
Cu 0.000 0.000 44.612
Cu 0.000 0.000 51.054
Cu 0.000 0.000 57.455



[17]
! FeRe2Pd (PBE-GGA, relaxed); values from VASP
! Relative energy among the computed polymorphs (eV/atom): 0.018
! ρ (g/cm3): 15.87
! E_tot (eV per atom): -9.51
! Formation energy from the elements (eV per atom): 0.069
&SYSTEM
  ibrav = 0, nat = 8, ntyp = 3
/
ATOMIC_SPECIES
Fe 55.84 Fe.upf
Pd 106.42 Pd.upf
Re 186.21 Re.upf
CELL_PARAMETERS angstrom
4.303 0.000 0.000
0.000 2.751 4.726
0.000 -2.751 4.726
ATOMIC_POSITIONS angstrom
Fe 0.000 1.457 3.961
Fe 0.000 -1.457 3.961
Pd 2.151 0.000 3.179
Pd 0.000 0.000 6.309
Re 0.000 0.000 1.498
Re 2.151 1.415 5.459
Re 2.151 -1.415 5.459
Re 2.151 0.000 7.983



[18]
! Y4Lu3Ni2Te2 (PBE-GGA, relaxed); values from VASP
! Relative energy among the computed polymorphs (eV/atom): 0.017
! ρ (g/cm3): 7.31
! E_tot (eV per atom): -5.83
&SYSTEM
  ibrav = 0, nat = 11, ntyp = 4
/
ATOMIC_SPECIES
Lu 174.97 Lu.upf
Ni 58.69 Ni.upf
Te 127.60 Te.upf
Y 88.91 Y.upf
CELL_PARAMETERS angstrom
-1.912 7.731 4.813
1.912 -7.731 4.813
1.912 7.731 -4.813
ATOMIC_POSITIONS angstrom
Lu 0.000 2.234 7.237
Lu 0.000 7.731 4.570
Lu 1.912 5.497 2.424
Ni 0.000 4.107 3.846
Ni 1.912 3.624 -0.967
Te 0.000 0.000 2.289
Te 0.000 7.731 1.374
Y 0.000 2.873 0.942
Y 1.912 -2.030 3.815
Y 1.912 2.030 3.815
Y 0.000 12.588 0.942



[19]
! LiLuNO (PBE-GGA, relaxed); values from VASP
! Relative energy among the computed polymorphs (eV/atom): 0.000
! ρ (g/cm3): 7.66
! E_tot (eV per atom): -6.56
&SYSTEM
  ibrav = 0, nat = 8, ntyp = 4
/
ATOMIC_SPECIES
Li 6.94 Li.upf
Lu 174.97 Lu.upf
N 14.01 N.upf
O 16.00 O.upf
CELL_PARAMETERS angstrom
4.607 0.000 0.000
0.000 4.607 0.000
0.000 0.000 4.331
ATOMIC_POSITIONS angstrom
Li 1.152 1.152 0.001
Li 3.455 3.455 4.330
Lu 3.455 1.152 2.165
Lu 1.152 3.455 2.165
N 3.455 3.455 2.158
N 1.152 1.152 2.173
O 3.455 1.152 0.000
O 1.152 3.455 0.000



[20]
! RbGdHgTe3 (PBE-GGA, relaxed); values from VASP
! Relative energy among the computed polymorphs (eV/atom): 0.113
! ρ (g/cm3): 6.70
! E_tot (eV per atom): -3.42
&SYSTEM
  ibrav = 0, nat = 24, ntyp = 4
/
ATOMIC_SPECIES
Gd 157.25 Gd.upf
Hg 200.59 Hg.upf
Rb 85.47 Rb.upf
Te 127.60 Te.upf
CELL_PARAMETERS angstrom
-5.374 -0.815 -7.213
-0.150 -4.821 0.656
-14.966 1.953 10.929
ATOMIC_POSITIONS angstrom
Gd -2.144 -1.349 -1.372
Gd -11.067 -0.943 -0.424
Gd -9.422 -2.741 4.797
Gd -18.345 -2.334 5.744
Hg -7.646 -1.675 -5.024
Hg -7.593 -0.924 0.506
Hg -12.896 -2.759 3.866
Hg -12.843 -2.008 9.396
Rb -6.135 -3.733 -1.745
Rb -5.288 -3.086 3.206
Rb -15.201 -0.598 1.167
Rb -14.354 0.050 6.117
Te -4.128 -1.627 -3.866
Te -6.590 -4.285 -5.898
Te -4.719 -1.040 0.308
Te -8.686 -1.281 -2.364
Te -9.163 -3.191 1.549
Te -7.514 -0.427 4.175
Te -12.975 -3.257 0.197
Te -11.327 -0.493 2.824
Te -11.804 -2.403 6.736
Te -15.770 -2.643 4.064
Te -13.899 0.601 10.271
Te -16.361 -2.057 8.238